NiAgPd14: optimized geometry, PBE.

Output
calculated total energy	-80.82	eV/cell
energy of formation from the pure elements	0.032	eV/atom

a = 5.5693 Å, b = 5.5693 Å, c = 9.1779 Å
α = 90.00°, β = 90.00°, γ = 120.06°
Site moments in Bohr magnetons follow the coordinates.
Fractional coordinates of all 16 atoms:
Ni (0.0407, 0.9593, 0.5000)  0.96
Ag (0.5399, 0.4601, 0.5000)  0.00
Pd (0.2087, 0.7913, 0.0000)  0.22
Pd (0.7094, 0.2906, 0.0000)  0.27
Pd (0.0416, 0.4605, 0.5000)  0.23
Pd (0.2086, 0.2901, 0.0000)  0.25
Pd (0.5395, 0.9584, 0.5000)  0.23
Pd (0.7099, 0.7914, 0.0000)  0.25
Pd (0.3718, 0.1223, 0.7473)  0.22
Pd (0.3718, 0.1223, 0.2527)  0.22
Pd (0.8777, 0.6282, 0.7473)  0.22
Pd (0.8777, 0.6282, 0.2527)  0.22
Pd (0.3746, 0.6254, 0.7518)  0.20
Pd (0.3746, 0.6254, 0.2482)  0.20
Pd (0.8767, 0.1233, 0.7449)  0.23
Pd (0.8767, 0.1233, 0.2551)  0.23

CdAsSe2Br: optimized geometry, PBE.

Output
calculated total energy	-13.25	eV/cell
energy above the most stable polymorph in this dataset	0.0	kJ/mol of atoms
ΔE_f (raw)	0.19	eV/atom

a = 5.1431 Å, b = 5.1431 Å, c = 5.1652 Å
α = 90.00°, β = 90.00°, γ = 90.00°
Fractional coordinates of all 5 atoms:
As (0.0000, 0.0000, 0.0000)
Se (0.0000, 0.5000, 0.0000)
Se (0.5000, 0.0000, 0.0000)
Br (0.0000, 0.0000, 0.5000)
Cd (0.5000, 0.5000, 0.5000)

Tb2BeNi2: optimized geometry, PBE.

Output
calculated total energy	-52.44	eV/cell
energy of formation from the pure elements	-0.334	eV/atom

a = 5.2574 Å, b = 5.2574 Å, c = 7.3793 Å
α = 78.65°, β = 78.65°, γ = 61.74°
Fractional coordinates of all 10 atoms:
Tb (0.4782, 0.2176, 0.1508)
Tb (0.7824, 0.5218, 0.3492)
Tb (0.5218, 0.7824, 0.8492)
Tb (0.2176, 0.4782, 0.6508)
Be (0.1218, 0.8782, 0.2500)
Be (0.8782, 0.1218, 0.7500)
Ni (0.7500, 0.0015, 0.5045)
Ni (0.9985, 0.2500, 0.9955)
Ni (0.2500, 0.9985, 0.4955)
Ni (0.0015, 0.7500, 0.0045)

ZnSnPdRh: optimized geometry, PBE.

Output
calculated total energy	-19.67	eV/cell
energy of formation from the pure elements	-0.462	eV/atom

a = 4.2080 Å, b = 4.2080 Å, c = 4.6605 Å
α = 116.83°, β = 116.84°, γ = 90.00°
Fractional coordinates of all 4 atoms:
Zn (0.0000, 0.0000, 0.0000)
Sn (0.5000, 0.5000, 0.0000)
Pd (0.7500, 0.2500, 0.5000)
Rh (0.2500, 0.7500, 0.5000)

HRhS2: optimized geometry, PBE.

Output
calculated total energy	-34.18	eV/cell
energy above the most stable polymorph in this dataset	78.0	kJ/mol of atoms

a = 5.9807 Å, b = 5.9807 Å, c = 5.0330 Å
α = 53.55°, β = 53.55°, γ = 90.00°
Fractional coordinates of all 8 atoms:
H (0.7500, 0.2500, 0.5000)
H (0.2500, 0.7500, 0.5000)
S (0.8198, 0.3198, 0.0000)
S (0.1802, 0.6802, 0.0000)
S (0.3198, 0.1802, 0.0000)
S (0.6802, 0.8198, 0.0000)
Rh (0.7500, 0.7500, 0.5000)
Rh (0.2500, 0.2500, 0.5000)

NaScSe4: optimized geometry, PBE.

Output
calculated total energy	-55.10	eV/cell
ΔE_f (raw)	-0.99	eV/atom

a = 6.0568 Å, b = 6.0568 Å, c = 7.5647 Å
α = 90.00°, β = 90.00°, γ = 90.00°
Fractional coordinates of all 12 atoms:
Na (0.5000, 0.5000, 0.5000)
Na (0.0000, 0.0000, 0.5000)
Sc (0.5000, 0.5000, 0.0000)
Sc (0.0000, 0.0000, 0.0000)
Se (0.6422, 0.8578, 0.2174)
Se (0.1422, 0.6422, 0.2174)
Se (0.8578, 0.3578, 0.2174)
Se (0.6422, 0.1422, 0.7826)
Se (0.3578, 0.8578, 0.7826)
Se (0.3578, 0.1422, 0.2174)
Se (0.8578, 0.6422, 0.7826)
Se (0.1422, 0.3578, 0.7826)